1.
# RbMn2Ni, single point on PBEsol structure, DFT SCAN
data_RbMn2Ni
_chemical_formula_sum 'Rb4 Mn8 Ni4'
_cell_length_a 6.5836
_cell_length_b 6.5836
_cell_length_c 6.5836
_cell_angle_alpha 90.00
_cell_angle_beta 90.00
_cell_angle_gamma 90.00
_symmetry_space_group_name_H-M 'F m -3 m'
_symmetry_Int_Tables_number 225
_symmetry_space_group_name_Hall '-F 4 2 3'
loop_
_atom_site_label
_atom_site_fract_x
_atom_site_fract_y
_atom_site_fract_z
Rb1 0.0000 0.0000 0.0000
Mn1 0.2500 0.2500 0.2500
Ni1 0.0000 0.0000 0.5000
# Energy of formation from the pure elements: 1.069 eV/atom
# M_tot: 2.164 μB per atom

=====

2.
# BaTa2AsN, single point on PBEsol structure, DFT SCAN
data_BaTa2AsN
_chemical_formula_sum 'Ba1 Ta2 As1 N1'
_cell_length_a 4.7218
_cell_length_b 4.7218
_cell_length_c 6.2749
_cell_angle_alpha 90.00
_cell_angle_beta 90.00
_cell_angle_gamma 90.00
_symmetry_space_group_name_H-M 'P 4/m m m'
_symmetry_Int_Tables_number 123
_symmetry_space_group_name_Hall '-P 4 2'
loop_
_atom_site_label
_atom_site_fract_x
_atom_site_fract_y
_atom_site_fract_z
Ba1 0.0000 0.0000 0.0000
Ta1 0.0000 0.5000 0.5000
As1 0.0000 0.0000 0.5000
N1 0.5000 0.5000 0.0000
# Energy relative to the elements, uncorrected: 1583 meV/atom
# M_tot: 0.349 μB per atom

=====

3.
# MgNiRu2, single point on PBEsol structure, DFT SCAN
data_MgNiRu2
_chemical_formula_sum 'Mg2 Ni2 Ru4'
_cell_length_a 2.8281
_cell_length_b 4.4719
_cell_length_c 8.6070
_cell_angle_alpha 90.00
_cell_angle_beta 90.00
_cell_angle_gamma 90.00
_symmetry_space_group_name_H-M 'C m m 2'
_symmetry_Int_Tables_number 35
loop_
_symmetry_equiv_pos_as_xyz
'x,y,z'
'-x,-y,z'
'-x,y,z'
'x,-y,z'
'x+1/2,y+1/2,z'
'-x+1/2,-y+1/2,z'
'-x+1/2,y+1/2,z'
'x+1/2,-y+1/2,z'
loop_
_atom_site_label
_atom_site_fract_x
_atom_site_fract_y
_atom_site_fract_z
Mg1 0.0000 0.0000 0.0000
Ni1 0.0000 0.5000 0.2449
Ru1 0.0000 0.0000 0.4831
Ru2 0.0000 0.5000 0.7335
# Energy of formation from the pure elements: 0.321 eV/atom
# M_tot: 0.473 μB per atom